No. 1
Computed, not measured: a relaxed structure of Mg3Zn3Ga2 at the PBE level of DFT.

Results
Density of states at the Fermi level, states/eV/f.u.: 2.11
Energy of formation from the pure elements, meV/atom: -93
Density, g/cm3: 4.6

Unit cell a=5.5198 b=5.5198 c=13.7633 alpha=90.00 beta=90.00 gamma=134.94
Element x y z (fractional)
Mg: 0.0715 0.9285 0.6135
Mg: 0.0715 0.9285 0.8865
Mg: 0.3500 0.6500 0.7500
Mg: 0.6500 0.3500 0.2500
Mg: 0.9285 0.0715 0.1135
Mg: 0.9285 0.0715 0.3865
Zn: 0.3742 0.6258 0.2500
Zn: 0.3888 0.6112 0.5400
Zn: 0.3888 0.6112 0.9600
Zn: 0.6112 0.3888 0.0400
Zn: 0.6112 0.3888 0.4600
Zn: 0.6258 0.3742 0.7500
Ga: 0.2156 0.7844 0.1067
Ga: 0.2156 0.7844 0.3933
Ga: 0.7844 0.2156 0.6067
Ga: 0.7844 0.2156 0.8933

No. 2
Computed, not measured: a relaxed structure of Mg5ZnGa at the PBE level of DFT.

Results
Energy relative to the lowest polymorph listed for this composition, meV/atom: 49
Density of states at the Fermi level, states/eV/f.u.: 2.54
Energy of formation from the pure elements, meV/atom: 36
Density, g/cm3: 2.8

Unit cell a=6.9968 b=6.9968 c=7.3787 alpha=111.97 beta=111.97 gamma=86.83
Element x y z (fractional)
Mg: 0.0770 0.9230 0.7500
Mg: 0.1689 0.3559 0.1262
Mg: 0.3098 0.6050 0.9164
Mg: 0.3559 0.1689 0.6262
Mg: 0.3950 0.6902 0.5836
Mg: 0.6050 0.3098 0.4164
Mg: 0.6441 0.8311 0.3738
Mg: 0.6902 0.3950 0.0836
Mg: 0.8311 0.6441 0.8738
Mg: 0.9230 0.0770 0.2500
Zn: 0.1966 0.8034 0.2500
Zn: 0.8034 0.1966 0.7500
Ga: 0.0000 0.5000 0.5000
Ga: 0.5000 0.0000 0.0000

No. 3
Computed, not measured: a relaxed structure of Mg2ZnGa4 at the PBE level of DFT.

Results
Energy relative to the lowest polymorph listed for this composition, meV/atom: 0
Density of states at the Fermi level, states/eV/f.u.: 3.03
Energy of formation from the pure elements, meV/atom: -24
Density, g/cm3: 4.7

Unit cell a=9.2010 b=9.2010 c=9.2010 alpha=60.00 beta=60.00 gamma=60.00
Element x y z (fractional)
Mg: 0.1512 0.7829 0.7829
Mg: 0.2171 0.2171 0.2171
Mg: 0.2171 0.2171 0.8488
Mg: 0.2171 0.8488 0.2171
Mg: 0.7829 0.1512 0.7829
Mg: 0.7829 0.7829 0.1512
Mg: 0.7829 0.7829 0.7829
Mg: 0.8488 0.2171 0.2171
Zn: 0.0000 0.5000 0.5000
Zn: 0.5000 0.0000 0.5000
Zn: 0.5000 0.5000 0.0000
Zn: 0.5000 0.5000 0.5000
Ga: 0.0000 0.0000 0.0000
Ga: 0.0000 0.0000 0.5000
Ga: 0.0000 0.5000 0.0000
Ga: 0.1508 0.1508 0.5992
Ga: 0.1508 0.5992 0.1508
Ga: 0.1508 0.5992 0.5992
Ga: 0.4008 0.4008 0.8492
Ga: 0.4008 0.8492 0.4008
Ga: 0.4008 0.8492 0.8492
Ga: 0.5000 0.0000 0.0000
Ga: 0.5992 0.1508 0.1508
Ga: 0.5992 0.1508 0.5992
Ga: 0.5992 0.5992 0.1508
Ga: 0.8492 0.4008 0.4008
Ga: 0.8492 0.4008 0.8492
Ga: 0.8492 0.8492 0.4008